This record from the Alexandria database describes crystalline Cs3K2Rb5 at its relaxed geometry. The functional is PBE.

Computed properties:
The uncorrected energy comes out at -0.9401 eV per atom.

Geometry as CIF:
```
data_Cs3K2Rb5
_symmetry_space_group_name_H-M 'P 4/m b m'
_symmetry_Int_Tables_number 127
_symmetry_space_group_name_Hall '-P 4 2ab'
_cell_length_a 16.187
_cell_length_b 16.187
_cell_length_c 7.458
_cell_angle_alpha 90.00
_cell_angle_beta 90.00
_cell_angle_gamma 90.00
loop_
_atom_site_label
_atom_site_fract_x
_atom_site_fract_y
_atom_site_fract_z
_atom_site_occupancy
Cs1 0.000 0.000 0.000 1
Cs2 0.177 0.323 0.000 1
K1 0.117 0.617 0.000 1
Rb1 0.000 0.500 0.500 1
Rb2 0.074 0.796 0.500 1
```

=====

This record from the Alexandria database describes crystalline CsKRb at its relaxed geometry. The functional is PBE.

Computed properties:
The uncorrected energy comes out at -0.9642 eV per atom.

Geometry as CIF:
```
data_CsKRb
_symmetry_space_group_name_H-M 'P 3 m 1'
_symmetry_Int_Tables_number 156
_symmetry_space_group_name_Hall 'P 3 -2"'
_cell_length_a 7.9995
_cell_length_b 7.9995
_cell_length_c 4.9200
_cell_angle_alpha 90.00
_cell_angle_beta 90.00
_cell_angle_gamma 120.00
loop_
_atom_site_label
_atom_site_fract_x
_atom_site_fract_y
_atom_site_fract_z
_atom_site_occupancy
Cs1 0.0000 0.0000 0.0000 1
K1 0.3333 0.6667 0.3545 1
Rb1 0.6667 0.3333 0.6374 1
```

=====

This record from the Alexandria database describes crystalline CsK7Rb12 at its relaxed geometry. The functional is PBE.

Computed properties:
The uncorrected energy comes out at -0.9882 eV per atom.

Geometry as CIF:
```
data_CsK7Rb12
_symmetry_space_group_name_H-M 'R -3'
_symmetry_Int_Tables_number 148
_symmetry_space_group_name_Hall '-R 3'
_cell_length_a 20.6027
_cell_length_b 20.6027
_cell_length_c 14.1160
_cell_angle_alpha 90.00
_cell_angle_beta 90.00
_cell_angle_gamma 120.00
loop_
_atom_site_label
_atom_site_fract_x
_atom_site_fract_y
_atom_site_fract_z
_atom_site_occupancy
Cs1 0.0000 0.0000 0.0000 1
K1 0.0000 0.0000 0.5000 1
K2 0.0720 0.2579 0.9312 1
Rb1 0.0363 0.2496 0.5715 1
Rb2 0.0437 0.1869 0.2485 1
```

=====

This record from the Alexandria database describes crystalline Cs2K5Rb3 at its relaxed geometry. The functional is PBE.

Computed properties:
The uncorrected energy comes out at -0.9716 eV per atom.

Geometry as CIF:
```
data_Cs2K5Rb3
_symmetry_space_group_name_H-M 'I b a m'
_symmetry_Int_Tables_number 72
_symmetry_space_group_name_Hall '-I 2 2c'
_cell_length_a 16.962
_cell_length_b 23.976
_cell_length_c 8.676
_cell_angle_alpha 90.00
_cell_angle_beta 90.00
_cell_angle_gamma 90.00
loop_
_atom_site_label
_atom_site_fract_x
_atom_site_fract_y
_atom_site_fract_z
_atom_site_occupancy
Cs1 0.094 0.176 0.000 1
K1 0.000 0.500 0.250 1
K2 0.241 0.163 0.500 1
K3 0.246 0.500 0.250 1
Rb1 0.000 0.000 0.250 1
Rb2 0.097 0.337 0.500 1
```

=====

This record from the Alexandria database describes crystalline Cs3KRb3 at its relaxed geometry. The functional is PBE.

Computed properties:
The uncorrected energy comes out at -0.6549 eV per atom.

Geometry as CIF:
```
data_Cs3KRb3
_symmetry_space_group_name_H-M 'P m -3 n'
_symmetry_Int_Tables_number 223
_symmetry_space_group_name_Hall '-P 4n 2 3'
_cell_length_a 12.686
_cell_length_b 12.686
_cell_length_c 12.686
_cell_angle_alpha 90.00
_cell_angle_beta 90.00
_cell_angle_gamma 90.00
loop_
_atom_site_label
_atom_site_fract_x
_atom_site_fract_y
_atom_site_fract_z
_atom_site_occupancy
Cs1 0.000 0.250 0.500 1
K1 0.000 0.000 0.000 1
Rb1 0.000 0.500 0.250 1
```

=====

This record from the Alexandria database describes crystalline Cs2K6Rb3 at its relaxed geometry. The functional is PBE.

Computed properties:
The uncorrected energy comes out at -0.9721 eV per atom.

Geometry as CIF:
```
data_Cs2K6Rb3
_symmetry_space_group_name_H-M 'P -6 2 m'
_symmetry_Int_Tables_number 189
_symmetry_space_group_name_Hall 'P -6 -2'
_cell_length_a 12.5805
_cell_length_b 12.5805
_cell_length_c 7.2433
_cell_angle_alpha 90.00
_cell_angle_beta 90.00
_cell_angle_gamma 120.00
loop_
_atom_site_label
_atom_site_fract_x
_atom_site_fract_y
_atom_site_fract_z
_atom_site_occupancy
Cs1 0.3333 0.6667 0.0000 1
K1 0.0000 0.2121 0.0000 1
K2 0.0000 0.7874 0.5000 1
Rb1 0.0000 0.4443 0.5000 1
```

=====

This record from the Alexandria database describes crystalline Cs6KRb at its relaxed geometry. The functional is PBE.

Computed properties:
The uncorrected energy comes out at -0.8878 eV per atom.

Geometry as CIF:
```
data_Cs6KRb
_symmetry_space_group_name_H-M 'P -1'
_symmetry_Int_Tables_number 2
_symmetry_space_group_name_Hall '-P 1'
_cell_length_a 9.485
_cell_length_b 9.501
_cell_length_c 9.501
_cell_angle_alpha 90.10
_cell_angle_beta 90.59
_cell_angle_gamma 90.53
loop_
_atom_site_label
_atom_site_fract_x
_atom_site_fract_y
_atom_site_fract_z
_atom_site_occupancy
Cs1 0.001 0.248 0.000 1
Cs2 0.248 0.501 0.500 1
Cs3 0.497 0.000 0.252 1
K1 0.000 0.000 0.500 1
Rb1 0.500 0.500 0.000 1
```

=====

This record from the Alexandria database describes crystalline CsKRb4 at its relaxed geometry. The functional is PBE.

Computed properties:
The uncorrected energy comes out at -0.9415 eV per atom.

Geometry as CIF:
```
data_CsKRb4
_symmetry_space_group_name_H-M 'F -4 3 m'
_symmetry_Int_Tables_number 216
_symmetry_space_group_name_Hall 'F -4 2 3'
_cell_length_a 13.156
_cell_length_b 13.156
_cell_length_c 13.156
_cell_angle_alpha 90.00
_cell_angle_beta 90.00
_cell_angle_gamma 90.00
loop_
_atom_site_label
_atom_site_fract_x
_atom_site_fract_y
_atom_site_fract_z
_atom_site_occupancy
Cs1 0.000 0.000 0.000 1
K1 0.250 0.250 0.250 1
Rb1 0.125 0.125 0.625 1
```